[1]
# MnNi2Cl PBE-GGA relaxed
# energy relative to the lowest polymorph listed for this composition: 1.49 eV/f.u.
# E_form (uncorrected): 1.79 eV per formula unit
# theoretical density: 6.42 g/cm³
data_MnNi2Cl
_chemical_formula_sum 'Mn2 Ni4 Cl2'
_cell_length_a 5.098
_cell_length_b 7.323
_cell_length_c 2.878
_cell_angle_alpha 90.00
_cell_angle_beta 90.00
_cell_angle_gamma 90.00
_symmetry_space_group_name_H-M 'C m m m'
_symmetry_Int_Tables_number 65
_symmetry_space_group_name_Hall '-C 2 2'
loop_
_atom_site_label
_atom_site_type_symbol
_atom_site_fract_x
_atom_site_fract_y
_atom_site_fract_z
_atom_site_occupancy
Mn1 Mn 0.000 0.000 0.000 1
Ni1 Ni 0.250 0.250 0.500 1
Cl1 Cl 0.000 0.500 0.000 1

---

[2]
# PrDyPa PBE-GGA relaxed
# energy relative to the lowest polymorph listed for this composition: 0.05 eV/f.u.
# calculated formation energy: 0.181 eV per atom
# theoretical density: 9.72 g/cm³
data_PrDyPa
_chemical_formula_sum 'Pr2 Dy2 Pa2'
_cell_length_a 3.421
_cell_length_b 3.421
_cell_length_c 15.613
_cell_angle_alpha 90.00
_cell_angle_beta 90.00
_cell_angle_gamma 90.00
_symmetry_space_group_name_H-M 'I 4 m m'
_symmetry_Int_Tables_number 107
_symmetry_space_group_name_Hall 'I 4 -2'
loop_
_atom_site_label
_atom_site_type_symbol
_atom_site_fract_x
_atom_site_fract_y
_atom_site_fract_z
_atom_site_occupancy
Pr1 Pr 0.000 0.000 0.000 1
Dy1 Dy 0.000 0.000 0.691 1
Pa1 Pa 0.000 0.000 0.342 1

---

[3]
# Hf2NpPt PBE-GGA relaxed
# energy relative to the lowest polymorph listed for this composition: 0.00 eV/f.u.
# calculated formation energy: -0.328 eV per atom
# theoretical density: 15.95 g/cm³
data_Hf2NpPt
_chemical_formula_sum 'Hf2 Np1 Pt1'
_cell_length_a 3.284
_cell_length_b 3.284
_cell_length_c 7.616
_cell_angle_alpha 90.00
_cell_angle_beta 90.00
_cell_angle_gamma 90.00
_symmetry_space_group_name_H-M 'P 4/m m m'
_symmetry_Int_Tables_number 123
_symmetry_space_group_name_Hall '-P 4 2'
loop_
_atom_site_label
_atom_site_type_symbol
_atom_site_fract_x
_atom_site_fract_y
_atom_site_fract_z
_atom_site_occupancy
Hf1 Hf 0.000 0.000 0.220 1
Np1 Np 0.500 0.500 0.500 1
Pt1 Pt 0.500 0.500 0.000 1

---

[4]
# SrMoRh4 PBE-GGA relaxed
# calculated formation energy: 0.199 eV per atom
# theoretical density: 9.54 g/cm³
data_SrMoRh4
_chemical_formula_sum 'Sr4 Mo4 Rh16'
_cell_length_a 7.456
_cell_length_b 7.456
_cell_length_c 7.456
_cell_angle_alpha 90.00
_cell_angle_beta 90.00
_cell_angle_gamma 90.00
_symmetry_space_group_name_H-M 'F -4 3 m'
_symmetry_Int_Tables_number 216
_symmetry_space_group_name_Hall 'F -4 2 3'
loop_
_atom_site_label
_atom_site_type_symbol
_atom_site_fract_x
_atom_site_fract_y
_atom_site_fract_z
_atom_site_occupancy
Sr1 Sr 0.000 0.000 0.000 1
Mo1 Mo 0.250 0.250 0.750 1
Rh1 Rh 0.125 0.125 0.375 1

---

[5]
# TiZnAgF6 PBE-GGA relaxed
# E_form (uncorrected): -21.93 eV per formula unit
# theoretical density: 4.17 g/cm³
data_TiZnAgF6
_chemical_formula_sum 'Ti2 Zn2 Ag2 F12'
_cell_length_a 5.5082
_cell_length_b 5.5082
_cell_length_c 10.1590
_cell_angle_alpha 90.00
_cell_angle_beta 90.00
_cell_angle_gamma 120.00
_symmetry_space_group_name_H-M 'P -3 1 c'
_symmetry_Int_Tables_number 163
_symmetry_space_group_name_Hall '-P 3 2c'
loop_
_atom_site_label
_atom_site_type_symbol
_atom_site_fract_x
_atom_site_fract_y
_atom_site_fract_z
_atom_site_occupancy
Ti1 Ti 0.3333 0.6667 0.2500 1
Zn1 Zn 0.3333 0.6667 0.7500 1
Ag1 Ag 0.0000 0.0000 0.0000 1
F1 F 0.0105 0.3776 0.1457 1

---

[6]
# SbOsPt3 PBE-GGA relaxed
# energy relative to the lowest polymorph listed for this composition: 2.79 eV/f.u.
# E_form (uncorrected): 8.34 eV per formula unit
# theoretical density: 12.90 g/cm³
data_SbOsPt3
_chemical_formula_sum 'Sb1 Os1 Pt3'
_cell_length_a 4.870
_cell_length_b 4.870
_cell_length_c 4.870
_cell_angle_alpha 90.00
_cell_angle_beta 90.00
_cell_angle_gamma 90.00
_symmetry_space_group_name_H-M 'P m -3 m'
_symmetry_Int_Tables_number 221
_symmetry_space_group_name_Hall '-P 4 2 3'
loop_
_atom_site_label
_atom_site_type_symbol
_atom_site_fract_x
_atom_site_fract_y
_atom_site_fract_z
_atom_site_occupancy
Sb1 Sb 0.000 0.000 0.000 1
Os1 Os 0.500 0.500 0.500 1
Pt1 Pt 0.000 0.000 0.500 1